1.
A geometry-optimized Ba3Tl7Ag2 structure. Source: Alexandria, functional PBE.

**DFT formation energy**: -0.2378 eV/atom
**Mass density**: 8.997 g cm⁻³

Lattice parameters (Å, degrees): 6.5202 6.5202 10.9838 72.73 72.73 60.00
Atoms (fractional coordinates):
Ag1 0.3354 0.3354 0.9939
Ag2 0.6646 0.6646 0.0061
Ba1 0.0000 0.0000 0.0000
Ba2 0.8602 0.8602 0.4194
Ba3 0.1398 0.1398 0.5806
Tl1 0.0724 0.5805 0.7667
Tl2 0.5805 0.5805 0.7667
Tl3 0.4195 0.4195 0.2333
Tl4 0.5000 0.5000 0.5000
Tl5 0.5805 0.0724 0.7667
Tl6 0.9276 0.4195 0.2333
Tl7 0.4195 0.9276 0.2333

2.
A geometry-optimized Ba12Tl5Ag2 structure. Source: Alexandria, functional PBE.

**DFT formation energy**: -0.1804 eV/atom
**Mass density**: 5.088 g cm⁻³

Lattice parameters (Å, degrees): 8.6627 10.6768 11.4120 101.43 90.00 113.93
Atoms (fractional coordinates):
Ba1 0.0879 0.6925 0.4276
Ba2 0.0402 0.0805 0.8234
Ba3 0.0829 0.6456 0.8912
Ba4 0.5627 0.6456 0.8912
Ba5 0.3954 0.3075 0.5724
Ba6 0.9121 0.3075 0.5724
Ba7 0.9171 0.3544 0.1088
Ba8 0.4373 0.3544 0.1088
Ba9 0.5075 0.0150 0.2729
Ba10 0.4925 0.9850 0.7271
Ba11 0.9598 0.9195 0.1766
Ba12 0.6046 0.6925 0.4276
Ag1 0.3248 0.0000 0.0000
Ag2 0.6752 0.0000 0.0000
Tl1 0.3067 0.6135 0.6414
Tl2 0.6933 0.3865 0.3586
Tl3 0.0000 0.0000 0.5000
Tl4 0.3269 0.6539 0.1546
Tl5 0.6731 0.3461 0.8454

3.
A geometry-optimized Ba3Tl4Ag4 structure. Source: Alexandria, functional PBE.

**DFT formation energy**: -0.2438 eV/atom
**Mass density**: 7.942 g cm⁻³

Lattice parameters (Å, degrees): 4.5073 5.0216 15.7072 80.87 81.78 90.15
Atoms (fractional coordinates):
Tl1 0.2533 0.2535 0.4936
Tl2 0.4031 0.9062 0.1904
Tl3 0.7468 0.7465 0.5064
Tl4 0.5969 0.0938 0.8096
Ag1 0.4533 0.4542 0.0931
Ag2 0.6899 0.1887 0.6215
Ag3 0.3101 0.8113 0.3786
Ag4 0.5467 0.5458 0.9069
Ba1 0.8522 0.3537 0.2942
Ba2 0.0000 0.0000 0.0000
Ba3 0.1478 0.6463 0.7058

4.
A geometry-optimized BaTlAg structure. Source: Alexandria, functional PBE.

**DFT formation energy**: -0.2844 eV/atom
**Mass density**: 7.509 g cm⁻³

Lattice parameters (Å, degrees): 4.7986 6.1883 7.1848 81.92 70.46 89.88
Atoms (fractional coordinates):
Ba1 0.3240 0.1330 0.6242
Ba2 0.0952 0.4951 0.0843
Ag1 0.9916 0.9484 0.2901
Ag2 0.4278 0.6797 0.4184
Tl1 0.7976 0.6202 0.6776
Tl2 0.6217 0.0081 0.0310

5.
A geometry-optimized Ba2Tl2Ag3 structure. Source: Alexandria, functional PBE.

**DFT formation energy**: -0.2136 eV/atom
**Mass density**: 7.833 g cm⁻³

Lattice parameters (Å, degrees): 4.9144 6.6459 7.5542 109.80 90.00 111.70
Atoms (fractional coordinates):
Tl1 0.8314 0.6627 0.7261
Tl2 0.1686 0.3372 0.2739
Ba1 0.1325 0.2650 0.7715
Ba2 0.8675 0.7350 0.2285
Ag1 0.5881 0.1761 0.4119
Ag2 0.4119 0.8239 0.5881
Ag3 0.5000 0.0000 0.0000

6.
A geometry-optimized Ba3TlAg structure. Source: Alexandria, functional PBE.

**DFT formation energy**: -0.2629 eV/atom
**Mass density**: 5.639 g cm⁻³

Lattice parameters (Å, degrees): 6.0266 6.0258 12.1256 90.00 75.61 90.00
Atoms (fractional coordinates):
Tl1 0.6674 0.7500 0.3135
Tl2 0.9810 0.2500 0.6865
Ag1 0.1643 0.2500 0.3198
Ag2 0.4841 0.7500 0.6802
Ba1 0.2455 0.7500 0.1573
Ba2 0.4028 0.2500 0.8427
Ba3 0.0733 0.7500 0.5018
Ba4 0.5750 0.2500 0.4982
Ba5 0.7486 0.2500 0.1512
Ba6 0.8998 0.7500 0.8488

7.
A geometry-optimized Ba2Tl12Ag structure. Source: Alexandria, functional PBE.

**DFT formation energy**: -0.0976 eV/atom
**Mass density**: 9.496 g cm⁻³

Lattice parameters (Å, degrees): 7.2343 7.2343 18.9464 90.00 90.00 90.00
Atoms (fractional coordinates):
Tl1 0.8357 0.3357 0.5688
Tl2 0.1643 0.3357 0.4312
Tl3 0.2505 0.7505 0.9149
Tl4 0.5000 0.5000 0.8155
Tl5 0.5000 0.5000 0.3418
Tl6 0.6643 0.8357 0.5688
Tl7 0.8357 0.6643 0.4312
Tl8 0.7505 0.2505 0.0851
Tl9 0.3357 0.8357 0.4312
Tl10 0.0000 0.0000 0.1845
Tl11 0.7505 0.7495 0.9149
Tl12 0.7495 0.7505 0.0851
Tl13 0.0000 0.0000 0.6582
Tl14 0.2495 0.7495 0.0851
Tl15 0.3357 0.1643 0.5688
Tl16 0.1643 0.6643 0.5688
Tl17 0.7495 0.2495 0.9149
Tl18 0.5000 0.5000 0.6582
Tl19 0.0000 0.0000 0.8155
Tl20 0.6643 0.1643 0.4312
Tl21 0.2505 0.2495 0.0851
Tl22 0.2495 0.2505 0.9149
Tl23 0.5000 0.5000 0.1845
Tl24 0.0000 0.0000 0.3418
Ba1 0.0000 0.5000 0.7582
Ba2 0.5000 0.0000 0.7582
Ba3 0.0000 0.5000 0.2418
Ba4 0.5000 0.0000 0.2418
Ag1 0.5000 0.0000 0.0000
Ag2 0.0000 0.5000 0.0000

8.
A geometry-optimized Ba11Tl9Ag4 structure. Source: Alexandria, functional PBE.

**DFT formation energy**: -0.3351 eV/atom
**Mass density**: 7.106 g cm⁻³

Lattice parameters (Å, degrees): 4.2811 14.9508 14.9508 112.56 90.00 90.00
Atoms (fractional coordinates):
Ba1 0.0000 0.7004 0.7004
Ba2 0.0000 0.8335 0.1665
Ba3 0.0000 0.3715 0.6285
Ba4 0.0000 0.6285 0.3715
Ba5 0.0000 0.9392 0.5900
Ba6 0.0000 0.5900 0.9392
Ba7 0.0000 0.2996 0.2996
Ba8 0.0000 0.1665 0.8335
Ba9 0.0000 0.4100 0.0608
Ba10 0.0000 0.0608 0.4100
Ba11 0.0000 0.0000 0.0000
Tl1 0.5000 0.3688 0.8333
Tl2 0.5000 0.5000 0.5000
Tl3 0.5000 0.6312 0.1667
Tl4 0.5000 0.7821 0.9251
Tl5 0.5000 0.9251 0.7821
Tl6 0.5000 0.2179 0.0749
Tl7 0.5000 0.8333 0.3688
Tl8 0.5000 0.1667 0.6312
Tl9 0.5000 0.0749 0.2179
Ag1 0.5000 0.5516 0.7573
Ag2 0.5000 0.2427 0.4484
Ag3 0.5000 0.7573 0.5516
Ag4 0.5000 0.4484 0.2427

> The lowest mass density belongs to which entry?

Ba12Tl5Ag2

> Which value of DFT formation energy does entry 7 give?

-0.0976 eV/atom

> Look up the mass density of the second one.

5.088 g cm⁻³